[1]
Compound: Pu3MgCo8
Source: Alexandria
Functional: PBE
Structure: optimized geometry

Values from the calculation:
formation energy from the elements = -1.42 eV/f.u.
space-group type = P3m1 (156)
D(E_F) = 1.79 states/eV/atom

Unit cell a=4.9624 b=4.9624 c=8.1791 alpha=90.00 beta=90.00 gamma=120.00
Closest atoms and distances in Å follow each position.
Sites, in units of the cell vectors:
Pu 0.0000 0.0000 0.0000  12 Co 2.90-2.99, 4 Pu 3.07-3.08
Pu 0.0000 0.0000 0.3753  12 Co 2.88-2.91, 3 Mg 3.03, 1 Pu 3.07
Pu 0.3333 0.6667 0.8629  12 Co 2.90-3.03, 1 Mg 3.00, 3 Pu 3.08
Mg 0.3333 0.6667 0.4960  12 Co 2.87-2.91, 4 Pu 3.00-3.03
Co 0.0048 0.5024 0.1902  6 Co 2.45-2.52
Co 0.3354 0.1677 0.6802  6 Co 2.46-2.58
Co 0.4976 0.5024 0.1902  6 Co 2.45-2.52
Co 0.4976 0.9952 0.1902  6 Co 2.45-2.52
Co 0.6667 0.3333 0.4350  6 Co 2.46-2.47
Co 0.6667 0.3333 0.9438  6 Co 2.48-2.58
Co 0.8323 0.1677 0.6802  6 Co 2.46-2.58
Co 0.8323 0.6646 0.6802  6 Co 2.46-2.58


[2]
Compound: PuMgCo
Source: Alexandria
Functional: PBE
Structure: optimized geometry

Values from the calculation:
formation energy from the elements = 0.39 eV/f.u.
space-group type = Fdd2 (43)
D(E_F) = 2.13 states/eV/atom

Unit cell a=7.2635 b=6.6475 c=8.0527 alpha=58.29 beta=51.13 gamma=70.58
Closest atoms and distances in Å follow each position.
Sites, in units of the cell vectors:
Pu 0.0822 0.4178 0.1497  3 Co 2.47-2.63
Pu 0.1003 0.8997 0.1678  3 Co 2.47-2.63
Pu 0.4178 0.0822 0.3503  3 Co 2.47-2.63
Pu 0.8997 0.1003 0.8322  3 Co 2.47-2.63
Mg 0.0498 0.6093 0.7095  3 Co 2.64-2.75
Mg 0.5405 0.6186 0.2002  3 Co 2.64-2.75
Mg 0.6093 0.0498 0.6314  3 Co 2.64-2.75
Mg 0.6186 0.5405 0.6407  3 Co 2.64-2.75
Co 0.0991 0.4760 0.4266  3 Pu 2.47-2.63, 3 Mg 2.64-2.75
Co 0.2517 0.8234 0.7740  3 Pu 2.47-2.63, 3 Mg 2.64-2.75
Co 0.4760 0.0991 0.9983  3 Pu 2.47-2.63, 3 Mg 2.64-2.75
Co 0.8234 0.2517 0.1509  3 Pu 2.47-2.63, 3 Mg 2.64-2.75